(1)
Entry from Alexandria: crystalline KRh2Cl at its relaxed geometry (GGA-PBEsol).

The calculation puts the total magnetization at 4.021 Bohr magnetons per cell. For the uncorrected energy, the calculation gives -4.334 eV per atom. The value obtained for the density of states at the Fermi level is 1.398 states/eV/atom. The polymorph energy (0 for the lowest one) comes out at 0.0 meV/atom.

The space group is I4/mmm (No. 139) and the conventional cell measures 3.741, 3.741 and 11.315 Å, with angles of 90.00, 90.00 and 90.00 degrees. Symmetry generates all atoms from K at (0.000, 0.000, 0.000), Rh at (0.000, 0.500, 0.250) and Cl at (0.000, 0.000, 0.500).

***

(2)
Entry from Alexandria: crystalline KZrRhCl2 at its relaxed geometry (GGA-PBEsol).

The calculation puts the total magnetization at 3.087 Bohr magnetons per cell. For the uncorrected energy, the calculation gives -3.851 eV per atom. The value obtained for the density of states at the Fermi level is 1.101 states/eV/atom.

The space group is P4/mmm (No. 123) and the conventional cell measures 4.806, 4.806 and 5.256 Å, with angles of 90.00, 90.00 and 90.00 degrees. Symmetry generates all atoms from K at (0.000, 0.000, 0.000), Zr at (0.500, 0.500, 0.000), Rh at (0.000, 0.000, 0.500) and Cl at (0.000, 0.500, 0.500).

***

(3)
Entry from Alexandria: crystalline K2RuCl at its relaxed geometry (GGA-PBEsol).

The calculation puts the total magnetization at 1.877 Bohr magnetons per cell. For the uncorrected energy, the calculation gives -3.294 eV per atom. The value obtained for the density of states at the Fermi level is 1.027 states/eV/atom. The polymorph energy (0 for the lowest one) comes out at 0.0 meV/atom.

The space group is P4mm (No. 99) and the conventional cell measures 3.266, 3.266 and 10.154 Å, with angles of 90.00, 90.00 and 90.00 degrees. Symmetry generates all atoms from K at (0.000, 0.000, 0.000), K at (0.500, 0.500, 0.453), Ru at (0.000, 0.000, 0.691) and Cl at (0.500, 0.500, 0.172).

***

(4)
Entry from Alexandria: crystalline KRuCl at its relaxed geometry (GGA-PBEsol).

The calculation puts the total magnetization at 2.003 Bohr magnetons per cell. For the uncorrected energy, the calculation gives -3.920 eV per atom. The value obtained for the density of states at the Fermi level is 1.194 states/eV/atom. The polymorph energy (0 for the lowest one) comes out at 106.7 meV/atom.

The space group is P3m1 (No. 156) and the conventional cell measures 3.3072, 3.3072 and 6.7098 Å, with angles of 90.00, 90.00 and 120.00 degrees. Symmetry generates all atoms from K at (0.0000, 0.0000, 0.0000), Ru at (0.3333, 0.6667, 0.5898) and Cl at (0.6667, 0.3333, 0.3549).

***

(5)
Entry from Alexandria: crystalline KRuCl at its relaxed geometry (GGA-PBEsol).

The calculation puts the total magnetization at 0.489 Bohr magnetons per cell. For the uncorrected energy, the calculation gives -4.027 eV per atom. The value obtained for the density of states at the Fermi level is 0.686 states/eV/atom. The polymorph energy (0 for the lowest one) comes out at 0.0 meV/atom.

The space group is I4mm (No. 107) and the conventional cell measures 3.293, 3.293 and 11.336 Å, with angles of 90.00, 90.00 and 90.00 degrees. Symmetry generates all atoms from K at (0.000, 0.000, 0.000), Ru at (0.000, 0.000, 0.719) and Cl at (0.000, 0.000, 0.274).

***

(6)
Entry from Alexandria: crystalline KRu4Cl at its relaxed geometry (GGA-PBEsol).

The calculation puts the total magnetization at 15.560 Bohr magnetons per cell. For the uncorrected energy, the calculation gives -6.008 eV per atom. The value obtained for the density of states at the Fermi level is 1.692 states/eV/atom.

The space group is F-43m (No. 216) and the conventional cell measures 7.419, 7.419 and 7.419 Å, with angles of 90.00, 90.00 and 90.00 degrees. Symmetry generates all atoms from K at (0.000, 0.000, 0.000), Ru at (0.124, 0.124, 0.376) and Cl at (0.250, 0.250, 0.750).

***

(7)
Entry from Alexandria: crystalline KRu2Cl at its relaxed geometry (GGA-PBEsol).

The calculation puts the total magnetization at 0.016 Bohr magnetons per cell. For the uncorrected energy, the calculation gives -4.115 eV per atom. The value obtained for the density of states at the Fermi level is 1.420 states/eV/atom. The polymorph energy (0 for the lowest one) comes out at 1094.1 meV/atom.

The space group is Fm-3m (No. 225) and the conventional cell measures 6.333, 6.333 and 6.333 Å, with angles of 90.00, 90.00 and 90.00 degrees. Symmetry generates all atoms from K at (0.000, 0.000, 0.000), Ru at (0.250, 0.250, 0.250) and Cl at (0.000, 0.000, 0.500).

***

(8)
Entry from Alexandria: crystalline K2RuCl at its relaxed geometry (GGA-PBEsol).

The calculation puts the total magnetization at 2.411 Bohr magnetons per cell. For the uncorrected energy, the calculation gives -3.261 eV per atom. The value obtained for the density of states at the Fermi level is 0.869 states/eV/atom. The polymorph energy (0 for the lowest one) comes out at 32.7 meV/atom.

The space group is Pmm2 (No. 25) and the conventional cell measures 3.169, 5.774 and 5.774 Å, with angles of 90.00, 90.00 and 90.00 degrees. Symmetry generates all atoms from K at (0.000, 0.000, 0.000), K at (0.000, 0.500, 0.498), Ru at (0.500, 0.500, 0.997) and Cl at (0.500, 0.000, 0.500).